The following is a DFT calculation (PBEsol) of a geometry-optimized KH3O2 structure. Values from VASP.

Results
Calculated volume = 10.075 Å³/atom
Space-group type = P2_1/c
Calculated total energy = -4.86 eV/atom

```
&SYSTEM
  ibrav = 0, nat = 24, ntyp = 3
/
ATOMIC_SPECIES
K 39.10 K.upf
H 1.01 H.upf
O 16.00 O.upf
CELL_PARAMETERS angstrom
5.823 0.000 0.000
0.000 5.581 0.000
-2.672 0.000 7.440
ATOMIC_POSITIONS angstrom
K -0.021 1.373 3.137
K -1.357 1.417 6.857
K 4.509 4.163 0.583
K 3.173 4.207 4.303
H 0.168 3.979 4.069
H -0.628 4.007 6.282
H 0.708 4.364 2.562
H 1.503 4.392 0.349
H 2.180 0.042 1.838
H 0.844 2.748 5.559
H 2.307 2.832 1.882
H 0.972 5.538 5.602
H 1.648 1.188 7.091
H 2.444 1.217 4.878
H 3.779 1.573 1.158
H 2.984 1.602 3.371
O -0.166 4.161 3.096
O -1.502 4.210 6.816
O 0.641 3.715 5.490
O 1.977 4.656 1.770
O 1.175 0.925 5.670
O 2.511 1.866 1.950
O 4.653 1.371 0.624
O 3.318 1.420 4.345
```